Version w
PmHoZnCo: optimized geometry, PBE.

Calculated values
The value obtained for the density of states at the Fermi level is 0.9051 states/eV/atom.

a = 4.321 Å, b = 3.892 Å, c = 10.553 Å
α = 90.00°, β = 90.00°, γ = 90.00°
Space group Amm2 (No. 38)
Unique sites:
Pm 0.000 0.000 0.000
Ho 0.500 0.000 0.717
Zn 0.500 0.000 0.421
Co 0.000 0.000 0.292


Version x
PmHoZnCo: optimized geometry, PBE.

Calculated values
The value obtained for the density of states at the Fermi level is 0.6475 states/eV/atom.

a = 6.972 Å, b = 6.972 Å, c = 6.972 Å
α = 90.00°, β = 90.00°, γ = 90.00°
Space group F-43m (No. 216)
Unique sites:
Pm 0.000 0.000 0.000
Ho 0.000 0.000 0.500
Zn 0.250 0.250 0.750
Co 0.250 0.250 0.250


If you had to bet on the most stable structure above, which would it be? Bet on version w.